Entry from the Alexandria database: CoCu3Cl2F6 after structural relaxation (PBE+U).

a b c (Å): 6.7981 6.7981 4.8805
angles (deg): 93.50 93.50 50.73
Closest atoms and distances in Å follow each position.
Sites, in units of the cell vectors:
Co (0.0000, 0.0000, 0.0000)  6 F 2.04-2.10
Cu (0.0000, 0.5000, 0.0000)  2 F 1.97
Cu (0.5000, 0.0000, 0.0000)  2 F 1.97
Cu (0.5000, 0.5000, 0.5000)  4 F 1.97
Cl (0.3046, 0.3046, 0.6918)  2 Cu 2.23
Cl (0.6954, 0.6954, 0.3082)  2 Cu 2.23
F (0.1643, 0.1643, 0.1537)  2 Cu 1.97, 1 Co 2.10
F (0.2040, 0.6895, 0.2423)  1 Cu 1.97, 1 Co 2.04
F (0.3105, 0.7960, 0.7577)  1 Cu 1.97, 1 Co 2.04
F (0.6895, 0.2040, 0.2423)  1 Cu 1.97, 1 Co 2.04
F (0.7960, 0.3105, 0.7577)  1 Cu 1.97, 1 Co 2.04
F (0.8357, 0.8357, 0.8463)  2 Cu 1.97, 1 Co 2.10

Values from the calculation:
VASP energy, eV per atom: -4.03